Ca2LaNi at its PBEsol-relaxed geometry, computed with meta-GGA SCAN. Values from VASP.

```
&SYSTEM
  ibrav = 0, nat = 4, ntyp = 3
/
ATOMIC_SPECIES
Ca 40.08 Ca.upf
La 138.91 La.upf
Ni 58.69 Ni.upf
ATOMIC_POSITIONS angstrom
Ca 0.000 0.000 6.676
Ca 0.000 0.000 23.265
La 0.000 0.000 0.000
Ni 0.000 0.000 14.971
CELL_PARAMETERS angstrom
1.854 1.070 9.980
-1.854 1.070 9.980
0.000 -2.140 9.980
```

Summary:
The value obtained for the density of states at the Fermi level is 2.8 states/eV per cell. The space-group type is No. 166. The calculation puts the energy of formation at 0.645 eV/f.u. The magnetic moment is 0.706 μB per formula unit. As for the energy above the most stable polymorph in this dataset: 5.48 kcal/mol of atoms.